Record 1
A crystal of Ca2LaFe relaxed with PBEsol, computed with SCAN.

```
Ca2LaFe
1.0
3.542 0.000 0.000
0.000 3.542 0.000
0.000 0.000 9.281
Ca La Fe
2 1 1
direct
0.000 0.000 0.000
0.500 0.500 0.327
0.500 0.500 0.680
0.000 0.000 0.527
```

Values from the calculation:
Energy relative to the lowest polymorph listed for this composition (meV per atom): 0
VASP energy (eV for the cell shown): -79.5
N(E_F) (states/eV per cell): 4.95

***

Record 2
A crystal of KSc2Pt relaxed with PBEsol, computed with SCAN.

```
KSc2Pt
1.0
1.961 1.132 10.172
-1.961 1.132 10.172
0.000 -2.264 10.172
K Sc Pt
1 2 1
direct
0.000 0.000 0.000
0.125 0.125 0.125
0.875 0.875 0.875
0.500 0.500 0.500
```

Values from the calculation:
Energy relative to the lowest polymorph listed for this composition (meV per atom): 0
VASP energy (eV for the cell shown): -108.9
N(E_F) (states/eV per cell): 2.20

***

Record 3
A crystal of KRb3Ag relaxed with PBEsol, computed with SCAN.

```
KRb3Ag
1.0
7.548 0.000 0.000
0.000 7.548 0.000
0.000 0.000 7.548
K Rb Ag
1 3 1
direct
0.000 0.000 0.000
0.000 0.000 0.500
0.000 0.500 0.000
0.500 0.000 0.000
0.500 0.500 0.500
```

Values from the calculation:
Energy relative to the lowest polymorph listed for this composition (meV per atom): 487
VASP energy (eV for the cell shown): -99.1
N(E_F) (states/eV per cell): 4.45

***

Record 4
A crystal of LiYHfTa2 relaxed with PBEsol, computed with SCAN.

```
LiYHfTa2
1.0
4.600 0.000 0.000
0.000 4.600 0.000
0.000 0.000 4.705
Li Y Hf Ta
1 1 1 2
direct
0.000 0.000 0.000
0.500 0.500 0.500
0.000 0.000 0.500
0.000 0.500 0.000
0.500 0.000 0.000
```

Values from the calculation:
VASP energy (eV for the cell shown): -220.8
N(E_F) (states/eV per cell): 7.64